No. 1
Below is an optimized crystal structure of LiPmCd2, with properties calculated at the PBE level.

Output
- energy relative to the elements (meV per atom) = -280
- calculated total energy (hartree per atom) = -0.088
- M_tot (μB per cell) = 0.0
- energy relative to the lowest polymorph listed for this composition (eV/atom) = 0.000

Geometry as CIF:
```
data_LiPmCd2
_space_group_name_H-M_alt 'F m -3 m'
_space_group_IT_number 225
_space_group_name_Hall '-F 4 2 3'
_cell_length_a 7.2676
_cell_length_b 7.2676
_cell_length_c 7.2676
_cell_angle_alpha 90.00
_cell_angle_beta 90.00
_cell_angle_gamma 90.00
loop_
_atom_site_label
_atom_site_fract_x
_atom_site_fract_y
_atom_site_fract_z
_atom_site_occupancy
Li1 0.0000 0.0000 0.0000 1
Pm1 0.0000 0.0000 0.5000 1
Cd1 0.2500 0.2500 0.2500 1
```

No. 2
Below is an optimized crystal structure of La5Ru2Pb2, with properties calculated at the PBE level.

Output
- energy relative to the elements (meV per atom) = -287
- calculated total energy (hartree per atom) = -0.217
- M_tot (μB per cell) = 0.0

Geometry as CIF:
```
data_La5Ru2Pb2
_space_group_name_H-M_alt 'I m a 2'
_space_group_IT_number 46
_space_group_name_Hall 'I 2 -2a'
_cell_length_a 22.2010
_cell_length_b 7.5342
_cell_length_c 7.2980
_cell_angle_alpha 90.00
_cell_angle_beta 90.00
_cell_angle_gamma 90.00
loop_
_atom_site_label
_atom_site_fract_x
_atom_site_fract_y
_atom_site_fract_z
_atom_site_occupancy
La1 0.0061 0.2471 0.0000 1
La2 0.1389 0.5284 0.7502 1
La3 0.2500 0.1010 0.6760 1
Ru1 0.0000 0.0000 0.2521 1
Ru2 0.2500 0.0611 0.3137 1
Pb1 0.1055 0.5098 0.2457 1
```

No. 3
Below is an optimized crystal structure of RbTbMn2Cl8, with properties calculated at the PBE level.

Output
- calculated total energy (hartree per atom) = -0.177
- uncorrected formation energy (eV per atom) = -1.591
- M_tot (μB per cell) = 30.0

Geometry as CIF:
```
data_RbTbMn2Cl8
_space_group_name_H-M_alt 'R 3 2'
_space_group_IT_number 155
_space_group_name_Hall 'R 3 2"'
_cell_length_a 6.4602
_cell_length_b 6.4602
_cell_length_c 31.4357
_cell_angle_alpha 90.00
_cell_angle_beta 90.00
_cell_angle_gamma 120.00
loop_
_atom_site_label
_atom_site_fract_x
_atom_site_fract_y
_atom_site_fract_z
_atom_site_occupancy
Rb1 0.0000 0.0000 0.0000 1
Tb1 0.0000 0.0000 0.5000 1
Mn1 0.0000 0.0000 0.2466 1
Cl1 0.0000 0.0000 0.3188 1
Cl2 0.0092 0.3530 0.2214 1
```